DFT (PBE with a Hubbard U) results for a relaxed structure of MoAuF2.

a = 4.364 Å, b = 4.364 Å, c = 7.964 Å
α = 74.10°, β = 74.10°, γ = 90.00°
Positions (direct):
F (0.875, 0.730, 0.750)
F (0.375, 0.520, 0.750)
F (0.480, 0.125, 0.250)
F (0.270, 0.625, 0.250)
Au (0.000, 0.000, 0.000)
Au (0.750, 0.250, 0.500)
Mo (0.250, 0.750, 0.500)
Mo (0.500, 0.500, 0.000)

Space-group type = I-42d
Uncorrected energy = -0.30959 Ry/atom
V = 17.5 Å³/atom
Excess energy over the best structure of this formula in the dataset = 248 meV per atom